VASP calculation (PBE) on a relaxed structure of ScTaHg2.

It has space group I4/mmm (No. 139), with a = 4.4199 Å, b = 4.4199 Å, c = 8.2642 Å, α = 90.00°, β = 90.00° and γ = 90.00°. Symmetry generates all atoms from Sc at (0.0000, 0.0000, 0.0000), Ta at (0.0000, 0.0000, 0.5000) and Hg at (0.0000, 0.5000, 0.2500).

For the final energy, the calculation gives -4.57 eV/atom. For the calculated density, the calculation gives 12.9 g cm⁻³.